No. 1
Li2AlPbN | PBE | optimized geometry

Formation energy (no corrections) = -0.336 eV per atom
Symmetry = P4/mmm
Crystal system = tetragonal

Cell: 4.558 4.558 3.661 Å, 90.00 90.00 90.00°
Positions (direct):
N 0.000 0.000 0.000
Pb 0.500 0.500 0.500
Al 0.000 0.000 0.500
Li 0.500 0.000 0.000
Li 0.000 0.500 0.000

---

No. 2
KH3Au | PBE | optimized geometry

Symmetry = I-4m2
Crystal system = tetragonal
Distance to the lowest polymorph of the same formula = 0.851 eV/f.u.

Cell: 4.043 4.043 10.051 Å, 78.40 78.40 90.00°
Positions (direct):
K 0.858 0.358 0.284
K 0.642 0.142 0.716
H 0.250 0.250 0.500
H 0.090 0.687 0.820
H 0.090 0.493 0.820
H 0.750 0.750 0.500
H 0.313 0.910 0.180
H 0.507 0.910 0.180
Au 0.250 0.750 0.500
Au 0.000 0.000 0.000

---

No. 3
IrRuN2 | PBE | optimized geometry

Formation energy (no corrections) = 1.425 eV per atom
Symmetry = Fm-3m
Crystal system = cubic
Distance to the lowest polymorph of the same formula = 3.950 eV/f.u.

Cell: 3.847 3.847 3.847 Å, 60.00 60.00 60.00°
Positions (direct):
N 0.750 0.750 0.750
N 0.250 0.250 0.250
Ru 0.000 0.000 0.000
Ir 0.500 0.500 0.500

---

No. 4
PuCu2I6 | PBE | optimized geometry

Formation energy (no corrections) = -0.550 eV per atom
Symmetry = C2/m
Crystal system = monoclinic
Distance to the lowest polymorph of the same formula = 0.000 eV/f.u.

Cell: 4.275 8.756 10.794 Å, 104.33 90.00 104.13°
Last column: magnetic moment on the atom in μB.
Positions (direct):
I 0.941 0.881 0.212  -0.11
I 0.788 0.576 0.848  -0.05
I 0.626 0.253 0.481  -0.09
I 0.374 0.747 0.519  -0.09
I 0.059 0.119 0.788  -0.11
I 0.212 0.424 0.152  -0.05
Cu 0.216 0.431 0.910  -0.10
Cu 0.784 0.569 0.090  -0.10
Pu 0.000 0.000 0.500  5.01

---

No. 5
RbAlGe3 | PBE | optimized geometry

Symmetry = Pm-3m
Crystal system = cubic
Distance to the lowest polymorph of the same formula = 0.000 eV/f.u.

Cell: 5.101 5.101 5.101 Å, 90.00 90.00 90.00°
Positions (direct):
Ge 0.000 0.500 0.000
Ge 0.500 0.000 0.000
Ge 0.000 0.000 0.500
Rb 0.500 0.500 0.500
Al 0.000 0.000 0.000

---

No. 6
CoRuPb2 | PBE | optimized geometry

Symmetry = P2/m
Crystal system = monoclinic
Distance to the lowest polymorph of the same formula = 0.743 eV/f.u.

Cell: 3.327 3.325 7.401 Å, 63.68 90.00 90.00°
Last column: magnetic moment on the atom in μB.
Positions (direct):
Co 0.500 0.750 0.750  1.08
Pb 0.000 0.497 0.505  -0.01
Pb 0.000 0.003 0.995  -0.01
Ru 0.500 0.250 0.250  0.03

---

No. 7
ErInH8Ir2 | PBE | optimized geometry

Symmetry = C2/m
Total DFT energy (no corrections) = -4.4554 eV/atom
Crystal system = monoclinic

Cell: 4.226 4.869 6.887 Å, 59.64 72.13 64.28°
Positions (direct):
Ir 0.250 0.322 0.179
Ir 0.750 0.678 0.821
H 0.672 0.547 0.109
H 0.062 0.032 0.323
H 0.914 0.568 0.605
H 0.416 0.968 0.677
H 0.328 0.453 0.891
H 0.086 0.432 0.395
H 0.938 0.968 0.677
H 0.584 0.032 0.323
Er 0.500 0.500 0.500
In 0.000 0.000 0.000

---

No. 8
CrRu3 | PBE | optimized geometry

Symmetry = Pmm2
Total DFT energy (no corrections) = -9.3473 eV/atom
Crystal system = orthorhombic

Cell: 2.711 4.261 4.646 Å, 90.00 90.00 90.00°
Positions (direct):
Cr 0.000 0.000 0.002
Ru 0.500 0.500 0.842
Ru 0.000 0.500 0.328
Ru 0.500 0.000 0.495

---

no.,spin magnetization (μB/cell),volume (Å³/f.u.)
1,0.00,76.04
2,0.00,78.74
3,0.00,40.26
4,4.23,378.86
5,0.00,132.71
6,1.04,73.37
7,0.00,109.45
8,0.00,53.68